[1]
Density functional theory data (SCAN) for a PBEsol-optimized structure of YZnPb.

The structure in CIF format:
```
data_YZnPb
_chemical_formula_sum 'Y1 Zn1 Pb1'
_space_group_name_H-M_alt 'P 3 m 1'
_space_group_IT_number 156
_space_group_name_Hall 'P 3 -2"'
_cell_length_a 4.4886
_cell_length_b 4.4886
_cell_length_c 4.0266
_cell_angle_alpha 90.00
_cell_angle_beta 90.00
_cell_angle_gamma 120.00
loop_
_atom_site_label
_atom_site_fract_x
_atom_site_fract_y
_atom_site_fract_z
_atom_site_occupancy
Y1 0.0000 0.0000 0.0000 1
Zn1 0.3333 0.6667 0.3624 1
Pb1 0.6667 0.3333 0.5535 1
```

Values from the calculation:
* energy relative to the elements: -1.64 eV per formula unit
* uncorrected energy: -39.5932 eV per atom

[2]
Density functional theory data (SCAN) for a PBEsol-optimized structure of Cd2SiRh.

The structure in CIF format:
```
data_Cd2SiRh
_chemical_formula_sum 'Cd6 Si3 Rh3'
_space_group_name_H-M_alt 'R -3 m'
_space_group_IT_number 166
_space_group_name_Hall '-R 3 2"'
_cell_length_a 2.8968
_cell_length_b 2.8968
_cell_length_c 28.1668
_cell_angle_alpha 90.00
_cell_angle_beta 90.00
_cell_angle_gamma 120.00
loop_
_atom_site_label
_atom_site_fract_x
_atom_site_fract_y
_atom_site_fract_z
_atom_site_occupancy
Cd1 0.0000 0.0000 0.2451 1
Si1 0.0000 0.0000 0.0000 1
Rh1 0.0000 0.0000 0.5000 1
```

Values from the calculation:
* ΔE_f (raw): 0.2839 eV per atom
* uncorrected energy: -25.8701 eV per atom

[3]
Density functional theory data (SCAN) for a PBEsol-optimized structure of La2TaPb2.

The structure in CIF format:
```
data_La2TaPb2
_chemical_formula_sum 'La4 Ta2 Pb4'
_space_group_name_H-M_alt 'I 4/m m m'
_space_group_IT_number 139
_space_group_name_Hall '-I 4 2'
_cell_length_a 4.1718
_cell_length_b 4.1718
_cell_length_c 15.4268
_cell_angle_alpha 90.00
_cell_angle_beta 90.00
_cell_angle_gamma 90.00
loop_
_atom_site_label
_atom_site_fract_x
_atom_site_fract_y
_atom_site_fract_z
_atom_site_occupancy
La1 0.0000 0.5000 0.2500 1
Ta1 0.0000 0.0000 0.0000 1
Pb1 0.0000 0.0000 0.4101 1
```

Values from the calculation:
* energy relative to the elements: 2.97 eV per formula unit
* uncorrected energy: -60.2770 eV per atom

[4]
Density functional theory data (SCAN) for a PBEsol-optimized structure of TaAs2CSe.

The structure in CIF format:
```
data_TaAs2CSe
_chemical_formula_sum 'Ta1 As2 C1 Se1'
_space_group_name_H-M_alt 'P 4/m m m'
_space_group_IT_number 123
_space_group_name_Hall '-P 4 2'
_cell_length_a 4.9511
_cell_length_b 4.9511
_cell_length_c 4.8528
_cell_angle_alpha 90.00
_cell_angle_beta 90.00
_cell_angle_gamma 90.00
loop_
_atom_site_label
_atom_site_fract_x
_atom_site_fract_y
_atom_site_fract_z
_atom_site_occupancy
Ta1 0.0000 0.0000 0.0000 1
As1 0.0000 0.5000 0.0000 1
C1 0.5000 0.5000 0.5000 1
Se1 0.0000 0.0000 0.5000 1
```

Values from the calculation:
* ΔE_f (raw): 1.5366 eV per atom
* uncorrected energy: -25.8919 eV per atom

[5]
Density functional theory data (SCAN) for a PBEsol-optimized structure of CdFeRu.

The structure in CIF format:
```
data_CdFeRu
_chemical_formula_sum 'Cd2 Fe2 Ru2'
_space_group_name_H-M_alt 'I 4 m m'
_space_group_IT_number 107
_space_group_name_Hall 'I 4 -2'
_cell_length_a 2.7499
_cell_length_b 2.7499
_cell_length_c 11.2697
_cell_angle_alpha 90.00
_cell_angle_beta 90.00
_cell_angle_gamma 90.00
loop_
_atom_site_label
_atom_site_fract_x
_atom_site_fract_y
_atom_site_fract_z
_atom_site_occupancy
Cd1 0.0000 0.0000 0.0000 1
Fe1 0.0000 0.0000 0.6805 1
Ru1 0.0000 0.0000 0.3068 1
```

Values from the calculation:
* energy relative to the elements: 0.77 eV per formula unit
* uncorrected energy: -27.5334 eV per atom

[6]
Density functional theory data (SCAN) for a PBEsol-optimized structure of Zr2CuRe.

The structure in CIF format:
```
data_Zr2CuRe
_chemical_formula_sum 'Zr2 Cu1 Re1'
_space_group_name_H-M_alt 'P 4/m m m'
_space_group_IT_number 123
_space_group_name_Hall '-P 4 2'
_cell_length_a 3.2954
_cell_length_b 3.2954
_cell_length_c 6.3339
_cell_angle_alpha 90.00
_cell_angle_beta 90.00
_cell_angle_gamma 90.00
loop_
_atom_site_label
_atom_site_fract_x
_atom_site_fract_y
_atom_site_fract_z
_atom_site_occupancy
Zr1 0.0000 0.0000 0.2468 1
Cu1 0.5000 0.5000 0.5000 1
Re1 0.5000 0.5000 0.0000 1
```

Values from the calculation:
* energy relative to the elements: -1.31 eV per formula unit
* uncorrected energy: -37.2502 eV per atom